Rb5Ge4 | PBE-GGA | optimized geometry

Properties
ΔH_f (0 K) ... -0.045 eV/atom
D(E_F) ... 0.447 states/eV per atom
Energy ... -2.63 eV per atom
Calculated density ... 3.331 g cm⁻³

a b c (Å): 5.9373 6.7020 10.4626
angles (deg): 83.40 73.52 63.71
Last column: nearest neighbours and their distance in Å.
Fractional coordinates of all 9 atoms:
Rb (0.8509, 0.8601, 0.4381)  2 Rb 3.62, 5 Ge 3.79-3.83
Rb (0.0000, 0.0000, 0.0000)  4 Ge 3.91, 6 Rb 3.99-4.19
Rb (0.1491, 0.1399, 0.5619)  2 Rb 3.62, 5 Ge 3.79-3.83
Rb (0.2407, 0.3594, 0.1593)  6 Ge 3.67-3.82, 3 Rb 3.99-4.08
Rb (0.7593, 0.6406, 0.8407)  6 Ge 3.67-3.82, 3 Rb 3.99-4.08
Ge (0.4265, 0.5195, 0.6275)  2 Ge 2.37-2.57
Ge (0.5206, 0.7544, 0.2043)  1 Ge 2.37
Ge (0.5735, 0.4805, 0.3725)  2 Ge 2.37-2.57
Ge (0.4794, 0.2456, 0.7957)  1 Ge 2.37